[1]
A geometry-optimized PmYBeCd structure, computed with PBE-GGA. Values from VASP.

ρ (g/cm3): 6.05
Crystal system: cubic
ΔH_f (0 K) (eV per atom): -0.030
Total DFT energy (no corrections) (eV per atom): -3.994

Geometry as Quantum ESPRESSO input:
```
&SYSTEM
  ibrav = 0, nat = 4, ntyp = 4
/
ATOMIC_SPECIES
Cd 112.41 Cd.upf
Be 9.01 Be.upf
Y 88.91 Y.upf
Pm 145.00 Pm.upf
CELL_PARAMETERS angstrom
-0.326 3.031 4.174
-2.696 -1.562 4.123
2.462 -1.318 4.349
ATOMIC_POSITIONS angstrom
Cd 0.000 0.000 0.000
Be -0.280 0.076 6.323
Y -0.420 0.113 9.484
Pm -0.140 0.038 3.161
```

---

[2]
A geometry-optimized PmBeZnCd structure, computed with PBE-GGA. Values from VASP.

ρ (g/cm3): 7.21
Crystal system: cubic
ΔH_f (0 K) (eV per atom): -0.093
Total DFT energy (no corrections) (eV per atom): -2.759

Geometry as Quantum ESPRESSO input:
```
&SYSTEM
  ibrav = 0, nat = 4, ntyp = 4
/
ATOMIC_SPECIES
Be 9.01 Be.upf
Zn 65.41 Zn.upf
Pm 145.00 Pm.upf
Cd 112.41 Cd.upf
CELL_PARAMETERS angstrom
-2.127 -2.133 3.689
-0.369 -4.747 0.117
2.585 -2.514 3.112
ATOMIC_POSITIONS angstrom
Be 0.000 0.000 0.000
Zn 0.044 -4.697 3.458
Pm 0.022 -2.348 1.729
Cd 0.066 -7.045 5.188
```

---

[3]
A geometry-optimized Pr2Be3CdPt4 structure, computed with PBE-GGA. Values from VASP.

ρ (g/cm3): 11.23
Crystal system: tetragonal
ΔH_f (0 K) (eV per atom): -0.747
Total DFT energy (no corrections) (eV per atom): -5.329

Geometry as Quantum ESPRESSO input:
```
&SYSTEM
  ibrav = 0, nat = 10, ntyp = 4
/
ATOMIC_SPECIES
Pr 140.91 Pr.upf
Be 9.01 Be.upf
Pt 195.08 Pt.upf
Cd 112.41 Cd.upf
CELL_PARAMETERS angstrom
-0.847 4.001 -0.229
-2.178 -0.656 -3.406
-8.696 -1.506 5.852
ATOMIC_POSITIONS angstrom
Pr -7.744 -1.480 2.775
Pr -2.465 1.647 1.259
Be -8.167 0.660 5.096
Be -2.042 -0.493 -1.062
Be -4.348 -0.753 2.926
Pt -1.513 1.672 -1.818
Pt -6.225 0.996 3.789
Pt -3.984 -0.829 0.245
Pt 0.000 0.000 0.000
Cd -5.861 0.919 1.108
```

---

[4]
A geometry-optimized BeCdPt structure, computed with PBE-GGA. Values from VASP.

Excess energy over the best structure of this formula in the dataset (meV per atom): 284
ρ (g/cm3): 11.21
Crystal system: trigonal
ΔH_f (0 K) (eV per atom): -0.105
Total DFT energy (no corrections) (eV per atom): -3.666

Geometry as Quantum ESPRESSO input:
```
&SYSTEM
  ibrav = 0, nat = 3, ntyp = 3
/
ATOMIC_SPECIES
Pt 195.08 Pt.upf
Cd 112.41 Cd.upf
Be 9.01 Be.upf
CELL_PARAMETERS angstrom
2.929 0.000 0.000
-1.465 2.537 0.000
0.000 0.000 6.308
ATOMIC_POSITIONS angstrom
Pt 0.000 1.691 4.527
Cd 1.465 0.846 2.033
Be 0.000 0.000 6.055
```

---

[5]
A geometry-optimized Be2Cd3Pt5 structure, computed with PBE-GGA. Values from VASP.

ρ (g/cm3): 14.17
Crystal system: tetragonal
ΔH_f (0 K) (eV per atom): -0.459
Total DFT energy (no corrections) (eV per atom): -4.499

Geometry as Quantum ESPRESSO input:
```
&SYSTEM
  ibrav = 0, nat = 20, ntyp = 3
/
ATOMIC_SPECIES
Cd 112.41 Cd.upf
Pt 195.08 Pt.upf
Be 9.01 Be.upf
CELL_PARAMETERS angstrom
3.484 0.000 0.000
0.000 9.462 0.000
0.000 0.000 9.462
ATOMIC_POSITIONS angstrom
Cd 0.000 6.392 1.661
Cd 0.000 0.000 0.000
Cd 0.000 3.071 7.802
Cd 0.000 1.661 3.071
Cd 0.000 7.802 6.392
Cd 0.000 4.731 4.731
Pt 1.742 4.049 2.681
Pt 1.742 0.683 7.412
Pt 1.742 0.000 4.731
Pt 1.742 5.414 6.782
Pt 1.742 6.782 4.049
Pt 1.742 2.050 0.683
Pt 1.742 7.412 8.780
Pt 1.742 2.681 5.414
Pt 1.742 8.780 2.050
Pt 1.742 4.731 0.000
Be 0.000 1.173 5.904
Be 0.000 5.904 8.289
Be 0.000 8.289 3.558
Be 0.000 3.558 1.173
```

---

[6]
A geometry-optimized BeCdPt structure, computed with PBE-GGA. Values from VASP.

Excess energy over the best structure of this formula in the dataset (meV per atom): 111
ρ (g/cm3): 11.28
Crystal system: hexagonal
ΔH_f (0 K) (eV per atom): -0.278
Total DFT energy (no corrections) (eV per atom): -3.838

Geometry as Quantum ESPRESSO input:
```
&SYSTEM
  ibrav = 0, nat = 3, ntyp = 3
/
ATOMIC_SPECIES
Pt 195.08 Pt.upf
Be 9.01 Be.upf
Cd 112.41 Cd.upf
CELL_PARAMETERS angstrom
-2.072 -0.223 3.378
-0.397 -2.824 -2.761
2.541 -1.767 1.442
ATOMIC_POSITIONS angstrom
Pt 1.163 -3.430 0.487
Be 2.117 -1.472 1.201
Cd -0.666 -1.679 1.813
```

---

Question: Which of these has the highest total DFT energy (no corrections)?
Answer: PmBeZnCd

---

Copy entry 3 word for word.
A geometry-optimized Pr2Be3CdPt4 structure, computed with PBE-GGA. Values from VASP.

ρ (g/cm3): 11.23
Crystal system: tetragonal
ΔH_f (0 K) (eV per atom): -0.747
Total DFT energy (no corrections) (eV per atom): -5.329

Geometry as Quantum ESPRESSO input:
```
&SYSTEM
  ibrav = 0, nat = 10, ntyp = 4
/
ATOMIC_SPECIES
Pr 140.91 Pr.upf
Be 9.01 Be.upf
Pt 195.08 Pt.upf
Cd 112.41 Cd.upf
CELL_PARAMETERS angstrom
-0.847 4.001 -0.229
-2.178 -0.656 -3.406
-8.696 -1.506 5.852
ATOMIC_POSITIONS angstrom
Pr -7.744 -1.480 2.775
Pr -2.465 1.647 1.259
Be -8.167 0.660 5.096
Be -2.042 -0.493 -1.062
Be -4.348 -0.753 2.926
Pt -1.513 1.672 -1.818
Pt -6.225 0.996 3.789
Pt -3.984 -0.829 0.245
Pt 0.000 0.000 0.000
Cd -5.861 0.919 1.108
```